# 1
Here is a geometry-optimized Pm4NiAsBr2 structure from Alexandria via LeMat-Bulk. Energies are from PBE.

abc: 4.050 7.483 7.647
angles: 107.14 90.00 90.00
Sites, in units of the cell vectors:
Pm  0.500  0.212  0.198
Pm  0.500  0.788  0.802
Pm  0.000  0.255  0.788
Pm  0.000  0.745  0.212
Ni  0.000  0.000  0.000
As  0.500  0.500  0.000
Br  0.500  0.000  0.500
Br  0.000  0.500  0.500

Output
Raw formation energy   -1.09 eV per atom
Volume   27.683 Å³ per atom

# 2
Here is a geometry-optimized NiAs2PtBr structure from Alexandria via LeMat-Bulk. Energies are from PBE.

abc: 4.843 4.843 5.270
angles: 90.00 90.00 90.00
Sites, in units of the cell vectors:
Ni  0.500  0.500  0.500
As  0.000  0.500  0.000
As  0.500  0.000  0.000
Br  0.000  0.000  0.500
Pt  0.000  0.000  0.000

Output
Raw formation energy   0.91 eV per atom
Volume   24.725 Å³ per atom